The following is a PBE calculation of crystalline InFeSe2 at its relaxed geometry, from the Alexandria database.

The formation energy from raw total energies is -0.202 eV per atom.

The structure belongs to space group R-3m (No. 166, hexagonal axes); the cell edges are 3.4209, 3.4209 and 26.7614 Å and the angles 90.00°, 90.00° and 120.00°. The distinct sites, in fractional coordinates, are In at (0.0000, 0.0000, 0.0000), Fe at (0.0000, 0.0000, 0.5000) and Se at (0.0000, 0.0000, 0.1158).

***

The following is a PBE calculation of crystalline In2FeSe at its relaxed geometry, from the Alexandria database.

The formation energy from raw total energies is 0.035 eV per atom.

The structure belongs to space group Amm2 (No. 38); the cell edges are 3.5316, 4.1744 and 11.6043 Å and the angles 90.00°, 90.00° and 90.00°. The distinct sites, in fractional coordinates, are In at (0.0000, 0.0000, 0.0000), In at (0.5000, 0.0000, 0.3157), Fe at (0.5000, 0.0000, 0.5487) and Se at (0.0000, 0.0000, 0.7049).